A plane-wave DFT calculation with PBE-GGA was carried out for MoOsS after structural relaxation.

Its energy above the most stable polymorph in this dataset is 0.062 eV per atom. Its calculated total energy is -8.7850 eV per atom. The formation energy (no corrections) comes out at -0.056 eV/atom. For the density of states at the Fermi level, the calculation gives 6.237 states/eV per cell.

It has space group Cm (No. 8), with a = 10.7927 Å, b = 2.9937 Å, c = 5.5207 Å, α = 90.00°, β = 97.05° and γ = 90.00°. The asymmetric unit holds Mo at (0.0000, 0.0000, 0.0000), Mo at (0.2405, 0.5000, 0.8946), Os at (0.1444, 0.5000, 0.3398), Os at (0.3614, 0.0000, 0.2724), S at (0.0954, 0.0000, 0.6364) and S at (0.3703, 0.0000, 0.7023).